# 1
VASP calculation (PBE) on an optimized crystal structure of Pr6Pt2RhCl3.

Cell lengths 4.1979, 8.9552, 9.9097 Å; angles 107.93, 102.23, 90.00 degrees
Last column: nearest neighbours and their distance in Å.
Sites, in units of the cell vectors:
Pr: 0.6746 0.5620 0.3492  3 Pt 2.90-2.91, 2 Cl 3.23
Cl: 0.8348 0.1703 0.6696  6 Pr 3.23-3.37
Cl: 0.5000 0.5000 0.0000  6 Pr 3.25-3.30
Pr: 0.9909 0.7772 0.9817  2 Rh 2.86, 1 Pt 2.91
Rh: 0.5000 0.0000 0.0000  6 Pr 2.83-2.86
Pt: 0.1672 0.3348 0.3344  6 Pr 2.90-2.91
Pr: 0.3254 0.4380 0.6508  3 Pt 2.90-2.91, 2 Cl 3.23
Pr: 0.3462 0.8963 0.6924  1 Rh 2.83, 2 Pt 2.90
Pt: 0.8328 0.6652 0.6656  6 Pr 2.90-2.91
Pr: 0.6538 0.1037 0.3076  1 Rh 2.83, 2 Pt 2.90
Pr: 0.0091 0.2228 0.0183  2 Rh 2.86, 1 Pt 2.91
Cl: 0.1652 0.8297 0.3304  6 Pr 3.23-3.37

Results
Total magnetization   0.00 μB/f.u.
Energy   -68.96 eV/cell


# 2
VASP calculation (PBE) on an optimized crystal structure of Pr4PtRhCl2.

Cell lengths 4.1777, 7.9460, 7.2723 Å; angles 71.91, 90.00, 90.00 degrees
Last column: nearest neighbours and their distance in Å.
Sites, in units of the cell vectors:
Pr: 0.5000 0.7055 0.2669  2 Rh 2.86, 1 Pt 2.90
Cl: 0.0000 0.0000 0.0000  6 Pr 3.28-3.34
Pr: 0.0000 0.7060 0.7574  1 Rh 2.84, 2 Pt 2.89
Pt: 0.5000 0.5000 0.0000  6 Pr 2.89-2.90
Pr: 0.0000 0.2940 0.2426  1 Rh 2.84, 2 Pt 2.89
Rh: 0.0000 0.5000 0.5000  6 Pr 2.84-2.86
Cl: 0.5000 0.0000 0.5000  6 Pr 3.26-3.29
Pr: 0.5000 0.2945 0.7331  2 Rh 2.86, 1 Pt 2.90

Results
Total magnetization   0.00 μB/f.u.
Energy   -46.19 eV/cell


# 3
VASP calculation (PBE) on an optimized crystal structure of Pr6RuPt2Cl3.

Cell lengths 4.1810, 8.9805, 9.9294 Å; angles 108.47, 102.15, 90.00 degrees
Last column: nearest neighbours and their distance in Å.
Sites, in units of the cell vectors:
Pr: 0.6734 0.5603 0.3468  3 Pt 2.88-2.90
Pr: 0.3488 0.9006 0.6977  1 Ru 2.78, 2 Pt 2.92
Pt: 0.1685 0.3358 0.3371  6 Pr 2.88-2.95
Cl: 0.1629 0.8267 0.3257  6 Pr 3.21-3.45
Cl: 0.8371 0.1733 0.6743  6 Pr 3.21-3.45
Cl: 0.5000 0.5000 0.0000  6 Pr 3.23-3.32
Pt: 0.8315 0.6642 0.6629  6 Pr 2.88-2.95
Ru: 0.5000 0.0000 0.0000  6 Pr 2.78-2.84
Pr: 0.0079 0.2190 0.0159  2 Ru 2.84, 1 Pt 2.95
Pr: 0.3266 0.4397 0.6532  3 Pt 2.88-2.90
Pr: 0.6512 0.0994 0.3023  1 Ru 2.78, 2 Pt 2.92
Pr: 0.9921 0.7810 0.9841  2 Ru 2.84, 1 Pt 2.95

Results
Total magnetization   0.00 μB/f.u.
Energy   -70.00 eV/cell